[1]
VASP calculation (GGA-PBEsol) on an optimized crystal structure of IrRu7.

a = 5.3347 Å, b = 5.3347 Å, c = 5.3347 Å
α = 60.00°, β = 60.00°, γ = 60.00°
Positions (direct):
Ir: 0.0000 0.0000 0.0000
Ru: 0.0000 0.5000 0.0000
Ru: 0.5000 0.5000 0.0000
Ru: 0.5000 0.5000 0.5000
Ru: 0.0000 0.0000 0.5000
Ru: 0.5000 0.0000 0.0000
Ru: 0.0000 0.5000 0.5000
Ru: 0.5000 0.0000 0.5000

## Properties
Total moment in μB per formula unit: 0.00
Volume in Å³/cell: 107
Mass density in g/cm3: 13.92
Energy of formation in eV/atom: 0.0751
E in eV per atom: -10.05

=====

[2]
VASP calculation (GGA-PBEsol) on an optimized crystal structure of ScIn2Mo.

a = 4.1882 Å, b = 4.1882 Å, c = 5.2235 Å
α = 113.63°, β = 113.63°, γ = 90.00°
Positions (direct):
In: 0.7500 0.2500 0.5000
In: 0.2500 0.7500 0.5000
Sc: 0.5000 0.5000 0.0000
Mo: 0.0000 0.0000 0.0000

## Properties
Total moment in μB per formula unit: 0.00
Volume in Å³/cell: 75
Excess energy over the best structure of this formula in the dataset in eV/atom: 0.000
Mass density in g/cm3: 8.15
Energy of formation in eV/atom: -0.1007
E in eV per atom: -6.19